(1)
ErMgGa2Pd4 (PBE, optimized geometry); calculated total energy = -4.8742 eV/atom; crystal system = tetragonal; volume = 16.7 Å³ per atom; symmetry = No. 123
1.0
4.555 0.000 0.000
0.000 4.555 0.000
0.000 0.000 6.429
Er Mg Ga Pd
1 1 2 4
Cartesian
0.000 0.000 0.000 Er
2.277 2.277 3.215 Mg
0.000 0.000 3.215 Ga
2.277 2.277 0.000 Ga
0.000 2.277 1.715 Pd
0.000 2.277 4.714 Pd
2.277 0.000 1.715 Pd
2.277 0.000 4.714 Pd



(2)
BaTaO3 (PBE, optimized geometry); calculated total energy = -8.4875 eV/atom; crystal system = hexagonal; volume = 14.5 Å³ per atom; symmetry = No. 194
1.0
5.952 0.000 0.000
-2.976 5.155 0.000
0.000 0.000 9.453
Ba Ta O
4 4 12
Cartesian
0.000 0.000 0.000 Ba
0.000 0.000 4.727 Ba
0.000 3.436 2.363 Ba
2.976 1.718 7.090 Ba
0.000 3.436 5.825 Ta
0.000 3.436 8.355 Ta
2.976 1.718 1.099 Ta
2.976 1.718 3.628 Ta
-1.488 2.577 0.000 O
-1.488 2.577 4.727 O
0.000 1.780 7.090 O
-1.434 4.265 7.090 O
1.542 0.890 2.363 O
2.976 0.000 0.000 O
2.976 0.000 4.727 O
1.488 2.577 0.000 O
1.488 2.577 4.727 O
1.434 4.265 7.090 O
4.410 0.890 2.363 O
2.976 3.375 2.363 O